1.
# KTa2Br

A relaxed KTa2Br crystal (PBE, Alexandria).

Properties
VASP energy ... -5.28 eV/atom
Total magnetic moment ... 0.12 μB/atom
Density of states at the Fermi level ... 1.28 states/eV per atom
Excess energy over the best structure of this formula in the dataset ... 1129 meV/atom
Formation energy without anion corrections ... 1334 meV/atom

a b c (Å): 7.089 7.089 7.089
angles (deg): 90.00 90.00 90.00
Space group F-43m (No. 216)
One atom of each set of equivalent atoms:
K (0.000, 0.000, 0.000) [4 per cell]
Ta (0.000, 0.000, 0.500) [4 per cell]
Ta (0.250, 0.250, 0.250) [4 per cell]
Br (0.250, 0.250, 0.750) [4 per cell]


2.
# ZnHgIr

A relaxed ZnHgIr crystal (PBE, Alexandria).

Properties
VASP energy ... -3.24 eV/atom
Energy of formation ... 239.9 meV/atom
Total magnetic moment ... 0.00 μB/atom
Density of states at the Fermi level ... 0.40 states/eV per atom
Excess energy over the best structure of this formula in the dataset ... 62 meV/atom

a b c (Å): 4.3795 4.3795 3.0382
angles (deg): 90.00 90.00 120.00
Space group P3m1 (No. 156)
One atom of each set of equivalent atoms:
Zn (0.0000, 0.0000, 0.0000) [1 per cell]
Hg (0.6667, 0.3333, 0.3591) [1 per cell]
Ir (0.3333, 0.6667, 0.8286) [1 per cell]


3.
# YPC

A relaxed YPC crystal (PBE, Alexandria).

Properties
VASP energy ... -7.52 eV/atom
Energy of formation ... -485.7 meV/atom
Total magnetic moment ... 0.00 μB/atom
Density of states at the Fermi level ... 0.25 states/eV per atom
Excess energy over the best structure of this formula in the dataset ... 16 meV/atom

a b c (Å): 3.816 5.167 6.877
angles (deg): 94.33 99.61 110.97
Space group P-1 (No. 2)
One atom of each set of equivalent atoms:
Y (0.220, 0.316, 0.212) [2 per cell]
P (0.467, 0.871, 0.119) [2 per cell]
C (0.158, 0.533, 0.562) [2 per cell]


4.
# BeAg

A relaxed BeAg crystal (PBE, Alexandria).

Properties
VASP energy ... -2.73 eV/atom
Energy of formation ... 557.6 meV/atom
Total magnetic moment ... 0.00 μB/atom
Density of states at the Fermi level ... 0.55 states/eV per atom

a b c (Å): 4.856 4.856 4.856
angles (deg): 90.00 90.00 90.00
Space group Fm-3m (No. 225)
One atom of each set of equivalent atoms:
Be (0.000, 0.000, 0.000) [4 per cell]
Ag (0.000, 0.000, 0.500) [4 per cell]